Here is TaCo3H after structural relaxation from Alexandria. Energies are from PBE-GGA.

Computed properties:
As for the electronic total energy: -7.4963 eV per atom.

Cell and atoms, written as POSCAR:
```
TaCo3H
1.0
2.5507 -4.6938 0.0000
2.5507 4.6938 0.0000
0.0000 0.0000 4.1972
Ta Co H
2 6 2
Direct
0.1894 0.8106 0.7500 Ta
0.8106 0.1894 0.2500 Ta
0.1817 0.3344 0.7500 Co
0.3344 0.1817 0.2500 Co
0.3478 0.6522 0.2500 Co
0.6522 0.3478 0.7500 Co
0.6656 0.8183 0.7500 Co
0.8183 0.6656 0.2500 Co
0.0000 0.0000 0.0000 H
0.0000 0.0000 0.5000 H
```